The following is a DFT calculation (PBE with a Hubbard U) of an optimized crystal structure of Li4Fe5SnO12.

```
Li4Fe5SnO12
1.0
0.6477 -4.0113 -3.1710
1.6203 4.6636 -1.4802
9.6004 -1.6381 2.8821
O Li Fe Sn
12 4 5 1
Direct
0.4814 0.1518 0.6047
0.1518 0.4814 0.6047
0.6139 0.6139 0.1068
0.8482 0.5186 0.3953
0.2232 0.2232 0.3962
0.6988 0.0515 0.8887
0.5186 0.8482 0.3953
0.3012 0.9485 0.1113
0.9485 0.3012 0.1113
0.3861 0.3861 0.8932
0.0515 0.6988 0.8887
0.7768 0.7768 0.6038
0.7459 0.4089 0.7440
0.2541 0.5911 0.2560
0.5911 0.2541 0.2560
0.4089 0.7459 0.7440
0.6665 0.3335 0.0000
0.8350 0.1650 0.5000
0.3335 0.6665 0.0000
0.1650 0.8350 0.5000
0.5000 0.5000 0.5000
0.0000 0.0000 0.0000
```

Results
E: -5.99 eV per atom